A plane-wave DFT calculation with PBE was carried out for a relaxed SmBiN crystal.

abc: 4.1224 4.1224 8.8339
angles: 90.00 90.00 88.50
Last column: magnetic moment on the atom in μB.
Sites, in units of the cell vectors:
N1 0.4120 0.9120 0.8919  0.06
N2 0.9120 0.4120 0.1081  0.06
Sm1 0.3044 0.8044 0.1311  0.00
Sm2 0.8044 0.3044 0.8689  0.00
Bi1 0.7930 0.7930 0.5000  0.01
Bi2 0.2930 0.2930 0.5000  0.01

## Properties
crystal system	orthorhombic
calculated total energy	-17.79	eV per formula unit
spin magnetization	0.031	μB per atom
raw formation energy	-287	meV/atom